1.
Compound: Pr3NpSb4
Source: the Alexandria database
Functional: PBE
Structure: optimized geometry

Lattice parameters (Å, degrees): 7.828 9.046 7.824 90.00 109.48 90.00
Fractional coordinates of all 16 atoms:
Pr (0.000, 0.124, 0.250)
Pr (0.000, 0.374, 0.750)
Pr (0.000, 0.626, 0.250)
Pr (0.000, 0.876, 0.750)
Pr (0.500, 0.125, 0.750)
Pr (0.500, 0.875, 0.250)
Np (0.500, 0.375, 0.250)
Np (0.500, 0.625, 0.750)
Sb (0.254, 0.129, 0.005)
Sb (0.254, 0.871, 0.505)
Sb (0.258, 0.379, 0.499)
Sb (0.258, 0.621, 0.999)
Sb (0.742, 0.379, 0.001)
Sb (0.742, 0.621, 0.501)
Sb (0.746, 0.129, 0.495)
Sb (0.746, 0.871, 0.995)

Computed properties:
The calculation puts the density of states at the Fermi level at 23.9 states/eV/cell. The space group is P2/c, No. 13. The formation energy (no corrections) is -935 meV/atom.

***

2.
Compound: PrNp4Sb5
Source: the Alexandria database
Functional: PBE
Structure: optimized geometry

Lattice parameters (Å, degrees): 11.809 11.809 11.809 158.59 149.25 37.78
Fractional coordinates of all 10 atoms:
Pr (0.000, 0.000, 0.000)
Np (0.202, 0.202, 0.000)
Np (0.401, 0.401, 0.000)
Np (0.599, 0.599, 0.000)
Np (0.798, 0.798, 0.000)
Sb (0.104, 0.604, 0.500)
Sb (0.301, 0.801, 0.500)
Sb (0.500, 0.000, 0.500)
Sb (0.699, 0.199, 0.500)
Sb (0.896, 0.396, 0.500)

Computed properties:
The calculation puts the density of states at the Fermi level at 44.6 states/eV/cell. The space group is Immm, No. 71. The formation energy (no corrections) is -364 meV/atom.

***

3.
Compound: PrNpSb2
Source: the Alexandria database
Functional: PBE
Structure: optimized geometry

Lattice parameters (Å, degrees): 7.795 7.795 7.795 33.28 33.28 33.28
Fractional coordinates of all 4 atoms:
Pr (0.000, 0.000, 0.000)
Np (0.500, 0.500, 0.500)
Sb (0.246, 0.246, 0.246)
Sb (0.754, 0.754, 0.754)

Computed properties:
As for the energy above the most stable polymorph in this dataset: 0 meV per atom. The calculation puts the density of states at the Fermi level at 12.3 states/eV/cell. The space group is R-3m, No. 166. The formation energy (no corrections) is -683 meV/atom.

***

4.
Compound: PrNpSb2
Source: the Alexandria database
Functional: PBE
Structure: optimized geometry

Lattice parameters (Å, degrees): 8.043 8.043 8.043 31.94 31.94 31.94
Fractional coordinates of all 4 atoms:
Pr (0.000, 0.000, 0.000)
Np (0.171, 0.171, 0.171)
Sb (0.581, 0.581, 0.581)
Sb (0.757, 0.757, 0.757)

Computed properties:
As for the energy above the most stable polymorph in this dataset: 101 meV per atom. The calculation puts the density of states at the Fermi level at 8.9 states/eV/cell. The space group is R3m, No. 160. The formation energy (no corrections) is -581 meV/atom.

***

5.
Compound: PrTmNp2Sb4
Source: the Alexandria database
Functional: PBE
Structure: optimized geometry

Lattice parameters (Å, degrees): 7.639 4.415 7.701 90.00 109.35 90.00
Fractional coordinates of all 8 atoms:
Pr (0.000, 0.000, 0.000)
Tm (0.500, 0.500, 0.000)
Np (0.000, 0.500, 0.500)
Np (0.500, 0.000, 0.500)
Sb (0.257, 0.000, 0.749)
Sb (0.259, 0.500, 0.256)
Sb (0.741, 0.500, 0.744)
Sb (0.743, 0.000, 0.251)

Computed properties:
The calculation puts the density of states at the Fermi level at 22.8 states/eV/cell. The space group is P2/m, No. 10. The formation energy (no corrections) is -645 meV/atom.

***

6.
Compound: Pr2Np2Se7
Source: the Alexandria database
Functional: PBE
Structure: optimized geometry

Lattice parameters (Å, degrees): 6.936 6.936 6.977 90.00 90.00 96.71
Fractional coordinates of all 11 atoms:
Pr (0.233, 0.233, 0.000)
Pr (0.767, 0.767, 0.000)
Np (0.234, 0.766, 0.500)
Np (0.766, 0.234, 0.500)
Se (0.000, 0.000, 0.268)
Se (0.000, 0.000, 0.732)
Se (0.000, 0.500, 0.245)
Se (0.000, 0.500, 0.755)
Se (0.500, 0.000, 0.245)
Se (0.500, 0.000, 0.755)
Se (0.500, 0.500, 0.500)

Computed properties:
The calculation puts the density of states at the Fermi level at 20.5 states/eV/cell. The space group is Cmmm, No. 65. The formation energy (no corrections) is -1259 meV/atom.